Compound: HoSc2Nb
Source: Alexandria
Functional: PBE
Structure: relaxed Values from VASP.

Summary:
Offset from the most stable computed form = 0.032 eV/atom
Uncorrected energy = -6.65 eV/atom
Theoretical density = 6.08 g/cm3
Spin magnetization = 0.0000 μB/atom
D(E_F) = 1.56 states/eV/atom
DFT formation energy = 0.178 eV/atom

The structure in Quantum ESPRESSO input format:
```
&SYSTEM
  ibrav = 0, nat = 4, ntyp = 3
/
ATOMIC_SPECIES
Sc 44.96 Sc.upf
Nb 92.91 Nb.upf
Ho 164.93 Ho.upf
ATOMIC_POSITIONS angstrom
Sc 1.605 0.927 2.386
Sc 4.814 2.780 8.252
Nb 0.000 0.000 0.000
Ho 3.210 1.853 5.319
CELL_PARAMETERS angstrom
3.210 0.000 0.000
1.605 2.780 0.000
1.605 0.927 10.638
```